one | Computed, not measured: a relaxed structure of InFeSeN2 at the PBE level of DFT.

a = 4.093 Å, b = 4.093 Å, c = 5.466 Å
α = 90.00°, β = 90.00°, γ = 90.00°
Space group P4/mmm (No. 123)
Inequivalent atoms, fractional coordinates:
In  0.000  0.000  0.000
Fe  0.500  0.500  0.500
Se  0.000  0.000  0.500
N  0.000  0.500  0.000

Summary:
Total moment ... 0.69 μB/atom


two | Computed, not measured: a relaxed structure of InFeSeN2 at the PBE level of DFT.

a = 3.744 Å, b = 3.744 Å, c = 5.267 Å
α = 90.00°, β = 90.00°, γ = 90.00°
Space group P4/mmm (No. 123)
Inequivalent atoms, fractional coordinates:
In  0.000  0.000  0.000
Fe  0.500  0.500  0.500
Se  0.500  0.500  0.000
N  0.000  0.500  0.500

Summary:
Total moment ... 0.00 μB/atom


What should be chosen as the most stable of them? Choose two.


one | Computed, not measured: a relaxed structure of InFeTe2N at the PBE level of DFT.

a = 5.812 Å, b = 5.812 Å, c = 4.012 Å
α = 90.00°, β = 90.00°, γ = 90.00°
Space group P4/mmm (No. 123)
Inequivalent atoms, fractional coordinates:
In  0.000  0.000  0.000
Fe  0.500  0.500  0.500
Te  0.000  0.500  0.000
N  0.000  0.000  0.500

Summary:
Total moment ... 1.09 μB/atom


two | Computed, not measured: a relaxed structure of InFeTe2N at the PBE level of DFT.

a = 5.476 Å, b = 5.476 Å, c = 3.426 Å
α = 90.00°, β = 90.00°, γ = 90.00°
Space group P4/mmm (No. 123)
Inequivalent atoms, fractional coordinates:
In  0.000  0.000  0.000
Fe  0.500  0.500  0.500
Te  0.000  0.500  0.500
N  0.500  0.500  0.000

Summary:
Total moment ... 0.00 μB/atom


What should be chosen as the most stable of them? Choose two.


one | Computed, not measured: a relaxed structure of ZnInFeN2 at the PBE level of DFT.

a = 4.400 Å, b = 2.965 Å, c = 13.797 Å
α = 90.00°, β = 90.00°, γ = 90.00°
Space group Amm2 (No. 38)
Inequivalent atoms, fractional coordinates:
Zn  0.000  0.000  0.000
In  0.500  0.000  0.134
Fe  0.000  0.000  0.645
N  0.000  0.000  0.771
N  0.000  0.000  0.855

Summary:
Total moment ... 0.00 μB/atom


two | Computed, not measured: a relaxed structure of ZnInFeN2 at the PBE level of DFT.

a = 3.334 Å, b = 4.948 Å, c = 5.032 Å
α = 67.36°, β = 72.01°, γ = 83.75°
Space group P1 (No. 1)
Inequivalent atoms, fractional coordinates:
Zn  0.000  0.000  0.000
In  0.388  0.372  0.344
Fe  0.145  0.546  0.828
N  0.566  0.848  0.482
N  0.708  0.689  0.691

Summary:
Total moment ... 0.00 μB/atom


three | Computed, not measured: a relaxed structure of ZnInFeN2 at the PBE level of DFT.

a = 3.834 Å, b = 4.552 Å, c = 4.922 Å
α = 62.50°, β = 78.38°, γ = 89.81°
Space group P1 (No. 1)
Inequivalent atoms, fractional coordinates:
Zn  0.000  0.000  0.000
In  0.178  0.326  0.346
Fe  0.160  0.626  0.746
N  0.587  0.787  0.427
N  0.701  0.662  0.676

Summary:
Total moment ... 0.00 μB/atom


four | Computed, not measured: a relaxed structure of ZnInFeN2 at the PBE level of DFT.

a = 6.594 Å, b = 2.828 Å, c = 7.718 Å
α = 90.00°, β = 97.60°, γ = 90.00°
Space group Cm (No. 8)
Inequivalent atoms, fractional coordinates:
Zn  0.000  0.000  0.000
In  0.252  0.500  0.271
Fe  0.341  0.000  0.579
N  0.049  0.000  0.613
N  0.433  0.500  0.739

Summary:
Total moment ... 0.00 μB/atom


What should be chosen as the most stable of them? Choose one.


one | Computed, not measured: a relaxed structure of ZnInFeN2 at the PBE level of DFT.

a = 3.781 Å, b = 3.187 Å, c = 10.933 Å
α = 90.00°, β = 90.00°, γ = 90.00°
Space group Amm2 (No. 38)
Inequivalent atoms, fractional coordinates:
Zn  0.000  0.000  0.000
In  0.500  0.000  0.326
Fe  0.500  0.000  0.567
N  0.169  0.000  0.698

Summary:
Total moment ... 0.16 μB/atom


two | Computed, not measured: a relaxed structure of ZnInFeN2 at the PBE level of DFT.

a = 3.008 Å, b = 4.341 Å, c = 10.889 Å
α = 90.00°, β = 90.00°, γ = 90.00°
Space group Imm2 (No. 44)
Inequivalent atoms, fractional coordinates:
Zn  0.000  0.000  0.000
In  0.000  0.500  0.827
Fe  0.000  0.500  0.305
N  0.000  0.359  0.132

Summary:
Total moment ... 0.24 μB/atom


three | Computed, not measured: a relaxed structure of ZnInFeN2 at the PBE level of DFT.

a = 4.6525 Å, b = 4.6525 Å, c = 4.7658 Å
α = 90.00°, β = 90.00°, γ = 120.00°
Space group P-6m2 (No. 187)
Inequivalent atoms, fractional coordinates:
Zn  0.0000  0.0000  0.0000
In  0.3333  0.6667  0.0000
Fe  0.6667  0.3333  0.0000
N  0.6667  0.3333  0.3778

Summary:
Total moment ... 0.00 μB/atom


What should be chosen as the most stable of them? Choose three.


one | Computed, not measured: a relaxed structure of NaIn2Fe2 at the PBE level of DFT.

a = 8.037 Å, b = 8.037 Å, c = 2.863 Å
α = 90.00°, β = 90.00°, γ = 90.00°
Space group P4/mbm (No. 127)
Inequivalent atoms, fractional coordinates:
Na  0.000  0.000  0.000
In  0.183  0.317  0.500
Fe  0.107  0.607  0.000

Summary:
Total moment ... 0.90 μB/atom


two | Computed, not measured: a relaxed structure of NaIn2Fe2 at the PBE level of DFT.

a = 4.948 Å, b = 4.948 Å, c = 8.319 Å
α = 90.00°, β = 90.00°, γ = 90.00°
Space group I4/mmm (No. 139)
Inequivalent atoms, fractional coordinates:
Na  0.000  0.000  0.000
In  0.000  0.500  0.250
Fe  0.000  0.000  0.372

Summary:
Total moment ... 0.78 μB/atom


What should be chosen as the most stable of them? Choose one.


one | Computed, not measured: a relaxed structure of InFe3Ni at the PBE level of DFT.

a = 4.713 Å, b = 4.713 Å, c = 4.713 Å
α = 90.00°, β = 90.00°, γ = 90.00°
Space group Pm-3m (No. 221)
Inequivalent atoms, fractional coordinates:
In  0.000  0.000  0.000
Fe  0.000  0.000  0.500
Ni  0.500  0.500  0.500

Summary:
Total moment ... 1.82 μB/atom


two | Computed, not measured: a relaxed structure of InFe3Ni at the PBE level of DFT.

a = 4.374 Å, b = 4.374 Å, c = 4.374 Å
α = 90.00°, β = 90.00°, γ = 90.00°
Space group Pm-3m (No. 221)
Inequivalent atoms, fractional coordinates:
In  0.000  0.000  0.000
Fe  0.000  0.500  0.500
Ni  0.500  0.500  0.500

Summary:
Total moment ... 1.86 μB/atom


What should be chosen as the most stable of them? Choose two.